Entry 1:
Below is a geometry-optimized CdBr2Cl2 structure, with properties calculated at the PBE-GGA level.

Calculated values
E above lowest polymorph: 0.161 eV per atom
space group: P4/mbm, No. 127
formation energy (no corrections): -0.3427 eV/atom

POSCAR file:
```
CdBr2Cl2
1.0
-0.2960 -7.1909 1.2017
1.7099 -1.2376 -6.9846
7.2825 -0.0018 1.7831
Br Cl Cd
4 4 2
Direct
0.6767 0.1767 0.0000
0.3233 0.8233 0.0000
0.1767 0.3233 0.0000
0.8233 0.6767 0.0000
0.4034 0.0966 0.5000
0.0966 0.5966 0.5000
0.5966 0.9034 0.5000
0.9034 0.4034 0.5000
0.0000 0.0000 0.0000
0.5000 0.5000 0.0000
```


Entry 2:
Below is a geometry-optimized Pd3S structure, with properties calculated at the PBE-GGA level.

Calculated values
space group: Pmm2, No. 25
formation energy (no corrections): 0.0926 eV/atom

POSCAR file:
```
Pd3S
1.0
3.1233 0.0000 0.0000
0.0000 4.4413 0.0000
0.0000 0.0000 4.6345
Pd S
3 1
Direct
0.0000 0.5000 0.3015
0.5000 0.5000 0.8150
0.5000 0.0000 0.4675
0.0000 0.0000 0.0826
```


Entry 3:
Below is a geometry-optimized Ce2DyPuBi4 structure, with properties calculated at the PBE-GGA level.

Calculated values
formation energy: -695 meV per atom
space group: P2/m, No. 10

POSCAR file:
```
Ce2DyPuBi4
1.0
4.5607 0.0000 0.0000
0.0000 7.8540 -0.1416
0.0000 2.7786 7.4033
Ce Pu Bi Dy
2 1 4 1
Direct
0.5000 0.0000 0.5000
0.0000 0.0000 0.0000
0.5000 0.5000 0.0000
0.5000 0.2544 0.7465
0.5000 0.7456 0.2535
0.0000 0.2532 0.2509
0.0000 0.7468 0.7491
0.0000 0.5000 0.5000
```


Entry 4:
Below is a geometry-optimized Th2MgSi3Ir4 structure, with properties calculated at the PBE-GGA level.

Calculated values
space group: P-4m2, No. 115
formation energy (no corrections): -0.9716 eV/atom

POSCAR file:
```
Th2MgSi3Ir4
1.0
4.1459 0.0000 0.0000
0.0000 4.1459 0.0000
0.0000 0.0000 10.4902
Ir Th Mg Si
4 2 1 3
Direct
0.0000 0.5000 0.3503
0.5000 0.0000 0.6497
0.5000 0.5000 0.0000
0.0000 0.0000 0.0000
0.5000 0.0000 0.2503
0.0000 0.5000 0.7497
0.5000 0.5000 0.5000
0.0000 0.5000 0.1240
0.5000 0.0000 0.8760
0.0000 0.0000 0.5000
```